Entry 1:
Density functional theory data (PBE) for an optimized crystal structure of CdInBiPb.

CIF file:
```
data_CdInBiPb
_chemical_formula_sum 'Cd1 In1 Bi1 Pb1'
_cell_length_a 3.735
_cell_length_b 3.735
_cell_length_c 8.267
_cell_angle_alpha 90.00
_cell_angle_beta 90.00
_cell_angle_gamma 90.00
_space_group_name_H-M_alt 'P 4 m m'
_space_group_IT_number 99
_space_group_name_Hall 'P 4 -2'
loop_
_atom_site_label
_atom_site_type_symbol
_atom_site_fract_x
_atom_site_fract_y
_atom_site_fract_z
_atom_site_occupancy
Cd1 Cd 0.000 0.000 0.000 1
In1 In 0.500 0.500 0.217 1
Bi1 Bi 0.500 0.500 0.750 1
Pb1 Pb 0.000 0.000 0.489 1
```

Summary:
energy of formation from the pure elements	66	meV per atom
calculated volume	28.83	Å³/atom

Entry 2:
Density functional theory data (PBE) for an optimized crystal structure of CdIn5Bi2Pb.

CIF file:
```
data_CdIn5Bi2Pb
_chemical_formula_sum 'Cd4 In20 Bi8 Pb4'
_cell_length_a 4.443
_cell_length_b 18.240
_cell_length_c 13.549
_cell_angle_alpha 90.00
_cell_angle_beta 90.00
_cell_angle_gamma 90.00
_space_group_name_H-M_alt 'C m c 21'
_space_group_IT_number 36
_space_group_name_Hall 'C 2c -2'
loop_
_atom_site_label
_atom_site_type_symbol
_atom_site_fract_x
_atom_site_fract_y
_atom_site_fract_z
_atom_site_occupancy
Cd1 Cd 0.000 0.155 0.000 1
In1 In 0.000 0.097 0.210 1
In2 In 0.000 0.270 0.699 1
In3 In 0.000 0.319 0.066 1
In4 In 0.000 0.401 0.353 1
In5 In 0.000 0.412 0.868 1
Bi1 Bi 0.000 0.084 0.691 1
Bi2 Bi 0.000 0.226 0.395 1
Pb1 Pb 0.000 0.487 0.562 1
```

Summary:
energy of formation from the pure elements	61	meV per atom
calculated volume	30.50	Å³/atom

Entry 3:
Density functional theory data (PBE) for an optimized crystal structure of CdIn2BiPb.

CIF file:
```
data_CdIn2BiPb
_chemical_formula_sum 'Cd4 In8 Bi4 Pb4'
_cell_length_a 6.626
_cell_length_b 14.941
_cell_length_c 6.204
_cell_angle_alpha 90.00
_cell_angle_beta 90.00
_cell_angle_gamma 90.00
_space_group_name_H-M_alt 'C m c m'
_space_group_IT_number 63
_space_group_name_Hall '-C 2c 2'
loop_
_atom_site_label
_atom_site_type_symbol
_atom_site_fract_x
_atom_site_fract_y
_atom_site_fract_z
_atom_site_occupancy
Cd1 Cd 0.000 0.130 0.250 1
In1 In 0.237 0.500 0.000 1
Bi1 Bi 0.000 0.328 0.250 1
Pb1 Pb 0.000 0.210 0.750 1
```

Summary:
energy of formation from the pure elements	79	meV per atom
calculated volume	30.71	Å³/atom

Entry 4:
Density functional theory data (PBE) for an optimized crystal structure of Cd2In3BiPb3.

CIF file:
```
data_Cd2In3BiPb3
_chemical_formula_sum 'Cd2 In3 Bi1 Pb3'
_cell_length_a 8.7113
_cell_length_b 8.7113
_cell_length_c 4.0789
_cell_angle_alpha 90.00
_cell_angle_beta 90.00
_cell_angle_gamma 120.00
_space_group_name_H-M_alt 'P -6 2 m'
_space_group_IT_number 189
_space_group_name_Hall 'P -6 -2'
loop_
_atom_site_label
_atom_site_type_symbol
_atom_site_fract_x
_atom_site_fract_y
_atom_site_fract_z
_atom_site_occupancy
Cd1 Cd 0.3333 0.6667 0.0000 1
In1 In 0.0000 0.6143 0.5000 1
Bi1 Bi 0.0000 0.0000 0.5000 1
Pb1 Pb 0.0000 0.2958 0.0000 1
```

Summary:
energy of formation from the pure elements	74	meV per atom
calculated volume	29.79	Å³/atom